# Y3Mg2CdCuAu2, relaxed, DFT PBE
# E = -4.3059 eV/atom
# Total magnetic moment = 0.00 μB/f.u.
data_Y3Mg2CdCuAu2
_chemical_formula_sum 'Y6 Mg4 Cd2 Cu2 Au4'
_space_group_name_H-M_alt 'A m m 2'
_space_group_IT_number 38
_space_group_name_Hall 'A 2 -2'
_cell_length_a 3.9385
_cell_length_b 13.2841
_cell_length_c 7.6917
_cell_angle_alpha 90.00
_cell_angle_beta 90.00
_cell_angle_gamma 90.00
loop_
_atom_site_label
_atom_site_type_symbol
_atom_site_fract_x
_atom_site_fract_y
_atom_site_fract_z
Y1 Y 0.0000 0.0000 0.0000
Y2 Y 0.0000 0.1996 0.3770
Mg1 Mg 0.5000 0.1215 0.7076
Cd1 Cd 0.5000 0.0000 0.3425
Cu1 Cu 0.0000 0.0000 0.5940
Au1 Au 0.5000 0.1710 0.0768

# Y3Mg3CdCuAu, relaxed, DFT PBE
# E = -3.9446 eV/atom
# Total magnetic moment = 0.05 μB/f.u.
data_Y3Mg3CdCuAu
_chemical_formula_sum 'Y3 Mg3 Cd1 Cu1 Au1'
_space_group_name_H-M_alt 'P -6'
_space_group_IT_number 174
_space_group_name_Hall 'P -6'
_cell_length_a 7.6481
_cell_length_b 7.6481
_cell_length_c 4.1145
_cell_angle_alpha 90.00
_cell_angle_beta 90.00
_cell_angle_gamma 120.00
loop_
_atom_site_label
_atom_site_type_symbol
_atom_site_fract_x
_atom_site_fract_y
_atom_site_fract_z
Y1 Y 0.0145 0.6023 0.0000
Mg1 Mg 0.0019 0.2388 0.5000
Cd1 Cd 0.6667 0.3333 0.5000
Cu1 Cu 0.0000 0.0000 0.0000
Au1 Au 0.3333 0.6667 0.5000

# Pr2NdCd3CuAu2, relaxed, DFT PBE
# E = -3.5755 eV/atom
# ΔE_f = -4.9 eV/f.u.
# Total magnetic moment = 0.02 μB/f.u.
data_Pr2NdCd3CuAu2
_chemical_formula_sum 'Pr4 Nd2 Cd6 Cu2 Au4'
_space_group_name_H-M_alt 'A m m 2'
_space_group_IT_number 38
_space_group_name_Hall 'A 2 -2'
_cell_length_a 3.9932
_cell_length_b 13.6851
_cell_length_c 7.9176
_cell_angle_alpha 90.00
_cell_angle_beta 90.00
_cell_angle_gamma 90.00
loop_
_atom_site_label
_atom_site_type_symbol
_atom_site_fract_x
_atom_site_fract_y
_atom_site_fract_z
Pr1 Pr 0.0000 0.2041 0.0000
Nd1 Nd 0.0000 0.0000 0.6125
Cd1 Cd 0.5000 0.0000 0.9626
Cd2 Cd 0.5000 0.1202 0.3250
Cu1 Cu 0.0000 0.0000 0.2047
Au1 Au 0.5000 0.1658 0.7037

# TbNd2Cd3CuAu2, relaxed, DFT PBE
# E = -3.5700 eV/atom
# ΔE_f = -5.0 eV/f.u.
# Total magnetic moment = 0.01 μB/f.u.
data_TbNd2Cd3CuAu2
_chemical_formula_sum 'Tb2 Nd4 Cd6 Cu2 Au4'
_space_group_name_H-M_alt 'A m m 2'
_space_group_IT_number 38
_space_group_name_Hall 'A 2 -2'
_cell_length_a 3.9514
_cell_length_b 13.5392
_cell_length_c 7.8654
_cell_angle_alpha 90.00
_cell_angle_beta 90.00
_cell_angle_gamma 90.00
loop_
_atom_site_label
_atom_site_type_symbol
_atom_site_fract_x
_atom_site_fract_y
_atom_site_fract_z
Tb1 Tb 0.0000 0.0000 0.0000
Nd1 Nd 0.0000 0.2040 0.6122
Cd1 Cd 0.5000 0.0000 0.6519
Cd2 Cd 0.5000 0.1204 0.2853
Cu1 Cu 0.0000 0.0000 0.4057
Au1 Au 0.5000 0.1631 0.9100

# Tb2NdCd3CuAu2, relaxed, DFT PBE
# E = -3.5630 eV/atom
# ΔE_f = -5.1 eV/f.u.
# Total magnetic moment = 0.01 μB/f.u.
data_Tb2NdCd3CuAu2
_chemical_formula_sum 'Tb4 Nd2 Cd6 Cu2 Au4'
_space_group_name_H-M_alt 'A m m 2'
_space_group_IT_number 38
_space_group_name_Hall 'A 2 -2'
_cell_length_a 3.9211
_cell_length_b 13.5268
_cell_length_c 7.7450
_cell_angle_alpha 90.00
_cell_angle_beta 90.00
_cell_angle_gamma 90.00
loop_
_atom_site_label
_atom_site_type_symbol
_atom_site_fract_x
_atom_site_fract_y
_atom_site_fract_z
Tb1 Tb 0.0000 0.2041 0.0000
Nd1 Nd 0.0000 0.0000 0.6125
Cd1 Cd 0.5000 0.0000 0.9621
Cd2 Cd 0.5000 0.1225 0.3244
Cu1 Cu 0.0000 0.0000 0.2022
Au1 Au 0.5000 0.1698 0.7059

# Nd2YCd3CuAu2, relaxed, DFT PBE
# E = -3.7764 eV/atom
# ΔE_f = -5.1 eV/f.u.
# Total magnetic moment = 0.00 μB/f.u.
data_Nd2YCd3CuAu2
_chemical_formula_sum 'Nd4 Y2 Cd6 Cu2 Au4'
_space_group_name_H-M_alt 'A m m 2'
_space_group_IT_number 38
_space_group_name_Hall 'A 2 -2'
_cell_length_a 3.9530
_cell_length_b 13.5398
_cell_length_c 7.8520
_cell_angle_alpha 90.00
_cell_angle_beta 90.00
_cell_angle_gamma 90.00
loop_
_atom_site_label
_atom_site_type_symbol
_atom_site_fract_x
_atom_site_fract_y
_atom_site_fract_z
Nd1 Nd 0.0000 0.2039 0.0000
Y1 Y 0.0000 0.0000 0.3880
Cd1 Cd 0.5000 0.0000 0.0406
Cd2 Cd 0.5000 0.1203 0.6725
Cu1 Cu 0.0000 0.0000 0.7941
Au1 Au 0.5000 0.1635 0.2978

# CdCuPbAu, relaxed, DFT PBE
# ΔE to the lowest computed polymorph = 0 kJ/mol of formula units
# E = -2.7765 eV/atom
data_CdCuPbAu
_chemical_formula_sum 'Cd4 Cu4 Pb4 Au4'
_space_group_name_H-M_alt 'F -4 3 m'
_space_group_IT_number 216
_space_group_name_Hall 'F -4 2 3'
_cell_length_a 6.9068
_cell_length_b 6.9068
_cell_length_c 6.9068
_cell_angle_alpha 90.00
_cell_angle_beta 90.00
_cell_angle_gamma 90.00
loop_
_atom_site_label
_atom_site_type_symbol
_atom_site_fract_x
_atom_site_fract_y
_atom_site_fract_z
Cd1 Cd 0.0000 0.0000 0.0000
Cu1 Cu 0.2500 0.2500 0.7500
Pb1 Pb 0.0000 0.0000 0.5000
Au1 Au 0.2500 0.2500 0.2500

# TbPr2Cd3CuAu2, relaxed, DFT PBE
# E = -3.5652 eV/atom
# ΔE_f = -5.0 eV/f.u.
# Total magnetic moment = 0.00 μB/f.u.
data_TbPr2Cd3CuAu2
_chemical_formula_sum 'Tb2 Pr4 Cd6 Cu2 Au4'
_space_group_name_H-M_alt 'A m m 2'
_space_group_IT_number 38
_space_group_name_Hall 'A 2 -2'
_cell_length_a 3.9635
_cell_length_b 13.5491
_cell_length_c 7.8596
_cell_angle_alpha 90.00
_cell_angle_beta 90.00
_cell_angle_gamma 90.00
loop_
_atom_site_label
_atom_site_type_symbol
_atom_site_fract_x
_atom_site_fract_y
_atom_site_fract_z
Tb1 Tb 0.0000 0.0000 0.0000
Pr1 Pr 0.0000 0.2039 0.6115
Cd1 Cd 0.5000 0.0000 0.6531
Cd2 Cd 0.5000 0.1205 0.2833
Cu1 Cu 0.0000 0.0000 0.4045
Au1 Au 0.5000 0.1622 0.9100

# PrY2Cd3CuAu2, relaxed, DFT PBE
# E = -3.9726 eV/atom
# ΔE_f = -5.1 eV/f.u.
# Total magnetic moment = 0.02 μB/f.u.
data_PrY2Cd3CuAu2
_chemical_formula_sum 'Pr2 Y4 Cd6 Cu2 Au4'
_space_group_name_H-M_alt 'A m m 2'
_space_group_IT_number 38
_space_group_name_Hall 'A 2 -2'
_cell_length_a 3.9112
_cell_length_b 13.5372
_cell_length_c 7.7595
_cell_angle_alpha 90.00
_cell_angle_beta 90.00
_cell_angle_gamma 90.00
loop_
_atom_site_label
_atom_site_type_symbol
_atom_site_fract_x
_atom_site_fract_y
_atom_site_fract_z
Pr1 Pr 0.0000 0.0000 0.0000
Y1 Y 0.0000 0.2031 0.3904
Cd1 Cd 0.5000 0.0000 0.3514
Cd2 Cd 0.5000 0.1239 0.7139
Cu1 Cu 0.0000 0.0000 0.5916
Au1 Au 0.5000 0.1701 0.0959

# Tm2ScCd3CuAu2, relaxed, DFT PBE
# E = -3.6703 eV/atom
# ΔE_f = -4.8 eV/f.u.
# Total magnetic moment = 0.03 μB/f.u.
data_Tm2ScCd3CuAu2
_chemical_formula_sum 'Tm4 Sc2 Cd6 Cu2 Au4'
_space_group_name_H-M_alt 'A m m 2'
_space_group_IT_number 38
_space_group_name_Hall 'A 2 -2'
_cell_length_a 3.7569
_cell_length_b 13.1179
_cell_length_c 7.6177
_cell_angle_alpha 90.00
_cell_angle_beta 90.00
_cell_angle_gamma 90.00
loop_
_atom_site_label
_atom_site_type_symbol
_atom_site_fract_x
_atom_site_fract_y
_atom_site_fract_z
Tm1 Tm 0.0000 0.2034 0.0000
Sc1 Sc 0.0000 0.0000 0.6105
Cd1 Cd 0.5000 0.0000 0.9517
Cd2 Cd 0.5000 0.1229 0.3298
Cu1 Cu 0.0000 0.0000 0.2033
Au1 Au 0.5000 0.1642 0.7015

# CdCuSiAu, relaxed, DFT PBE
# ΔE to the lowest computed polymorph = 0 kJ/mol of formula units
# E = -3.1107 eV/atom
data_CdCuSiAu
_chemical_formula_sum 'Cd4 Cu4 Si4 Au4'
_space_group_name_H-M_alt 'F -4 3 m'
_space_group_IT_number 216
_space_group_name_Hall 'F -4 2 3'
_cell_length_a 6.4620
_cell_length_b 6.4620
_cell_length_c 6.4620
_cell_angle_alpha 90.00
_cell_angle_beta 90.00
_cell_angle_gamma 90.00
loop_
_atom_site_label
_atom_site_type_symbol
_atom_site_fract_x
_atom_site_fract_y
_atom_site_fract_z
Cd1 Cd 0.0000 0.0000 0.0000
Cu1 Cu 0.2500 0.2500 0.7500
Si1 Si 0.0000 0.0000 0.5000
Au1 Au 0.2500 0.2500 0.2500

# Sm3Cd3CuAu2, relaxed, DFT PBE
# E = -3.5711 eV/atom
# ΔE_f = -5.1 eV/f.u.
# Total magnetic moment = 0.00 μB/f.u.
data_Sm3Cd3CuAu2
_chemical_formula_sum 'Sm3 Cd3 Cu1 Au2'
_space_group_name_H-M_alt 'P -6 2 m'
_space_group_IT_number 189
_space_group_name_Hall 'P -6 -2'
_cell_length_a 7.7033
_cell_length_b 7.7033
_cell_length_c 3.9959
_cell_angle_alpha 90.00
_cell_angle_beta 90.00
_cell_angle_gamma 120.00
loop_
_atom_site_label
_atom_site_type_symbol
_atom_site_fract_x
_atom_site_fract_y
_atom_site_fract_z
Sm1 Sm 0.0000 0.4076 0.0000
Cd1 Cd 0.0000 0.7574 0.5000
Cu1 Cu 0.0000 0.0000 0.0000
Au1 Au 0.3333 0.6667 0.5000

Question: The lowest E belongs to which entry?
Answer: Y3Mg2CdCuAu2